Run one
LaPd6Au | PBE | optimized geometry

Lattice parameters (Å, degrees): 5.7493 5.7493 4.2236 90.00 90.00 90.00
Fractional coordinates of all 8 atoms:
La  0.0000  0.0000  0.0000
Pd  0.0000  0.5000  0.0000
Pd  0.2580  0.2580  0.5000
Pd  0.2580  0.7420  0.5000
Pd  0.5000  0.0000  0.0000
Pd  0.7420  0.2580  0.5000
Pd  0.7420  0.7420  0.5000
Au  0.5000  0.5000  0.0000

SG   P4/mmm (123)
Mass density   11.59 g cm⁻³
Crystal system   tetragonal

Run two
LaPd6Au | PBE | optimized geometry

Lattice parameters (Å, degrees): 5.2332 5.2332 5.2332 90.00 90.00 90.00
Fractional coordinates of all 8 atoms:
La  0.0000  0.0000  0.0000
Pd  0.0000  0.2557  0.5000
Pd  0.0000  0.7443  0.5000
Pd  0.2557  0.5000  0.0000
Pd  0.5000  0.0000  0.2557
Pd  0.5000  0.0000  0.7443
Pd  0.7443  0.5000  0.0000
Au  0.5000  0.5000  0.5000

SG   Pm-3 (200)
Mass density   11.29 g cm⁻³
Crystal system   cubic

Of them, run one has the highest stability.

Run one
La2Pd2Au | PBE | optimized geometry

Lattice parameters (Å, degrees): 7.8214 7.8214 3.9324 90.00 90.00 90.00
Fractional coordinates of all 10 atoms:
La  0.1778  0.3222  0.0000
La  0.3222  0.8222  0.0000
La  0.6778  0.1778  0.0000
La  0.8222  0.6778  0.0000
Pd  0.1272  0.6272  0.5000
Pd  0.3728  0.1272  0.5000
Pd  0.6272  0.8728  0.5000
Pd  0.8728  0.3728  0.5000
Au  0.0000  0.0000  0.5000
Au  0.5000  0.5000  0.5000

SG   P4/mbm (127)
Mass density   9.49 g cm⁻³
Crystal system   tetragonal

Run two
La2Pd2Au | PBE | optimized geometry

Lattice parameters (Å, degrees): 8.2235 8.2235 3.8390 90.00 90.00 90.00
Fractional coordinates of all 10 atoms:
La  0.1707  0.3293  0.0000
La  0.3293  0.8293  0.0000
La  0.6707  0.1707  0.0000
La  0.8293  0.6707  0.0000
Pd  0.1233  0.6233  0.5000
Pd  0.3767  0.1233  0.5000
Pd  0.6233  0.8767  0.5000
Pd  0.8767  0.3767  0.5000
Au  0.0000  0.0000  0.0000
Au  0.5000  0.5000  0.0000

SG   P4/mbm (127)
Mass density   8.80 g cm⁻³
Crystal system   tetragonal

Of them, run one has the highest stability.

Run one
La2Pd2Au | PBE | optimized geometry

Lattice parameters (Å, degrees): 5.6962 5.6962 5.6962 120.91 120.91 88.43
Fractional coordinates of all 5 atoms:
La  0.2500  0.7500  0.5000
La  0.7500  0.2500  0.5000
Pd  0.1596  0.1596  0.0000
Pd  0.8404  0.8404  0.0000
Au  0.5000  0.5000  0.0000

SG   I4/mmm (139)
Mass density   8.86 g cm⁻³
Crystal system   tetragonal

Run two
La2Pd2Au | PBE | optimized geometry

Lattice parameters (Å, degrees): 8.4307 8.4307 8.4307 152.81 152.81 38.84
Fractional coordinates of all 5 atoms:
La  0.1106  0.1106  0.0000
La  0.8894  0.8894  0.0000
Pd  0.2500  0.7500  0.5000
Pd  0.7500  0.2500  0.5000
Au  0.5000  0.5000  0.0000

SG   I4/mmm (139)
Mass density   9.14 g cm⁻³
Crystal system   tetragonal

Of them, run one has the highest stability.

Run one
LaPd4Au | PBE | optimized geometry

Lattice parameters (Å, degrees): 5.4186 5.4186 5.4186 60.00 60.00 60.00
Fractional coordinates of all 6 atoms:
La  0.0000  0.0000  0.0000
Pd  0.1260  0.6247  0.6247
Pd  0.6247  0.1260  0.6247
Pd  0.6247  0.6247  0.1260
Pd  0.6247  0.6247  0.6247
Au  0.2500  0.2500  0.2500

SG   F-43m (216)
Mass density   11.24 g cm⁻³
Crystal system   cubic

Run two
LaPd4Au | PBE | optimized geometry

Lattice parameters (Å, degrees): 7.7667 4.2334 7.0609 90.00 90.00 90.00
Fractional coordinates of all 12 atoms:
La  0.2500  0.0000  0.1713
La  0.7500  0.0000  0.8287
Pd  0.0000  0.0000  0.5000
Pd  0.0266  0.5000  0.7982
Pd  0.2500  0.5000  0.4731
Pd  0.4734  0.5000  0.7982
Pd  0.5000  0.0000  0.5000
Pd  0.5266  0.5000  0.2018
Pd  0.7500  0.5000  0.5269
Pd  0.9734  0.5000  0.2018
Au  0.2500  0.0000  0.7603
Au  0.7500  0.0000  0.2397

SG   Pmma (51)
Mass density   10.89 g cm⁻³
Crystal system   orthorhombic

Of them, run one has the highest stability.

Run one
La2Pd3Au2 | PBE | optimized geometry

Lattice parameters (Å, degrees): 7.4612 7.4612 7.4612 109.47 109.47 109.47
Fractional coordinates of all 14 atoms:
La  0.0000  0.5075  0.5000
La  0.5000  0.0000  0.5075
La  0.5075  0.5000  0.0000
La  0.9925  0.9925  0.9925
Pd  0.0242  0.2742  0.7500
Pd  0.2258  0.2500  0.4758
Pd  0.2500  0.4758  0.2258
Pd  0.2742  0.7500  0.0242
Pd  0.4758  0.2258  0.2500
Pd  0.7500  0.0242  0.2742
Au  0.0000  0.8925  0.5000
Au  0.5000  0.0000  0.8925
Au  0.6075  0.6075  0.6075
Au  0.8925  0.5000  0.0000

SG   I2_13 (199)
Mass density   10.29 g cm⁻³
Crystal system   cubic

Run two
La2Pd3Au2 | PBE | optimized geometry

Lattice parameters (Å, degrees): 5.4369 5.4369 8.5086 116.69 116.69 45.95
Fractional coordinates of all 7 atoms:
La  0.1987  0.1987  0.2774
La  0.8013  0.8013  0.7226
Pd  0.4791  0.4791  0.6519
Pd  0.5000  0.5000  0.0000
Pd  0.5209  0.5209  0.3481
Au  0.1589  0.1589  0.8847
Au  0.8411  0.8411  0.1153

SG   C2/m (12)
Mass density   10.43 g cm⁻³
Crystal system   monoclinic

Of them, run two has the highest stability.

Run one
LaPd3Au | PBE | optimized geometry

Lattice parameters (Å, degrees): 5.0873 5.0873 5.0873 90.00 90.00 90.00
Fractional coordinates of all 5 atoms:
La  0.0000  0.0000  0.0000
Pd  0.0000  0.0000  0.5000
Pd  0.0000  0.5000  0.0000
Pd  0.5000  0.0000  0.0000
Au  0.5000  0.5000  0.5000

SG   Pm-3m (221)
Mass density   8.26 g cm⁻³
Crystal system   cubic

Run two
LaPd3Au | PBE | optimized geometry

Lattice parameters (Å, degrees): 4.9847 4.9847 4.9847 90.00 90.00 90.00
Fractional coordinates of all 5 atoms:
La  0.0000  0.0000  0.0000
Pd  0.0000  0.5000  0.5000
Pd  0.5000  0.0000  0.5000
Pd  0.5000  0.5000  0.0000
Au  0.5000  0.5000  0.5000

SG   Pm-3m (221)
Mass density   8.78 g cm⁻³
Crystal system   cubic

Of them, run two has the highest stability.

Run one
LaPd3Au | PBE | optimized geometry

Lattice parameters (Å, degrees): 7.8132 7.8132 5.7404 90.00 90.00 145.48
Fractional coordinates of all 10 atoms:
La  0.1083  0.8917  0.7500
La  0.8917  0.1083  0.2500
Pd  0.1423  0.8577  0.2500
Pd  0.3028  0.6972  0.5055
Pd  0.3028  0.6972  0.9945
Pd  0.6972  0.3028  0.0055
Pd  0.6972  0.3028  0.4945
Pd  0.8577  0.1423  0.7500
Au  0.4642  0.5358  0.7500
Au  0.5358  0.4642  0.2500

SG   Cmcm (63)
Mass density   10.96 g cm⁻³
Crystal system   orthorhombic

Run two
LaPd3Au | PBE | optimized geometry

Lattice parameters (Å, degrees): 6.7101 6.7101 6.7101 132.24 108.21 90.87
Fractional coordinates of all 10 atoms:
La  0.2566  0.0066  0.2500
La  0.7434  0.9934  0.7500
Pd  0.0449  0.2949  0.7500
Pd  0.3089  0.0000  0.8089
Pd  0.3089  0.5000  0.3089
Pd  0.6911  0.0000  0.1911
Pd  0.6911  0.5000  0.6911
Pd  0.9551  0.7051  0.2500
Au  0.0000  0.5000  0.5000
Au  0.5000  0.5000  0.0000

SG   Imma (74)
Mass density   10.81 g cm⁻³
Crystal system   orthorhombic

Of them, run one has the highest stability.

Run one
LaPd4Au2 | PBE | optimized geometry

Lattice parameters (Å, degrees): 5.5891 5.5891 5.5482 119.52 119.52 75.81
Fractional coordinates of all 7 atoms:
La  0.0000  0.0000  0.0000
Pd  0.9998  0.4010  0.7004
Pd  0.0002  0.5990  0.2996
Pd  0.4010  0.9998  0.7004
Pd  0.5990  0.0002  0.2996
Au  0.4999  0.4999  0.2497
Au  0.5001  0.5001  0.7503

SG   C2/m (12)
Mass density   12.13 g cm⁻³
Crystal system   monoclinic

Run two
LaPd4Au2 | PBE | optimized geometry

Lattice parameters (Å, degrees): 6.4077 6.4077 6.4077 99.79 99.79 131.28
Fractional coordinates of all 7 atoms:
La  0.0000  0.0000  0.0000
Pd  0.2816  0.5000  0.7816
Pd  0.5000  0.2816  0.7816
Pd  0.5000  0.7184  0.2184
Pd  0.7184  0.5000  0.2184
Au  0.2500  0.7500  0.5000
Au  0.7500  0.2500  0.5000

SG   I4/mmm (139)
Mass density   8.84 g cm⁻³
Crystal system   tetragonal

Run three
LaPd4Au2 | PBE | optimized geometry

Lattice parameters (Å, degrees): 7.5018 7.5018 7.5018 139.87 139.87 58.05
Fractional coordinates of all 7 atoms:
La  0.0000  0.0000  0.0000
Pd  0.0000  0.5000  0.5000
Pd  0.1941  0.1941  0.0000
Pd  0.5000  0.0000  0.5000
Pd  0.8059  0.8059  0.0000
Au  0.3962  0.3962  0.0000
Au  0.6038  0.6038  0.0000

SG   I4/mmm (139)
Mass density   9.16 g cm⁻³
Crystal system   tetragonal

Of them, run one has the highest stability.